No. 1
This record from Alexandria describes crystalline SiBPt2 at its relaxed geometry. The functional is GGA-PBE.

Cell lengths 4.180, 4.180, 5.705 Å; angles 68.51, 68.51, 60.00 degrees
Sites, in units of the cell vectors:
Si  0.500  0.500  0.500
B  0.000  0.000  0.000
Pt  0.123  0.123  0.631
Pt  0.877  0.877  0.369

Results
Uncorrected formation energy ... -0.043 eV per atom
Energy above the lowest structure with this stoichiometry ... 0.215 eV per atom
SG ... R-3m

=====

No. 2
This record from Alexandria describes crystalline Sn8PtAu2 at its relaxed geometry. The functional is GGA-PBE.

Cell lengths 4.023, 5.685, 13.324 Å; angles 107.37, 98.68, 90.00 degrees
Sites, in units of the cell vectors:
Sn  0.596  0.932  0.192
Sn  0.325  0.557  0.650
Sn  0.222  0.121  0.443
Sn  0.033  0.329  0.066
Sn  0.778  0.879  0.557
Sn  0.675  0.443  0.350
Sn  0.404  0.068  0.808
Sn  0.967  0.671  0.934
Pt  0.500  0.000  0.000
Au  0.133  0.683  0.267
Au  0.867  0.317  0.733

Results
Energy ... -46.34 eV/cell
SG ... C2/m

=====

Number 1: total magnetic moment 0.00 Bohr magnetons per cell. Number 2: total magnetic moment 0.00 Bohr magnetons per cell.